The following is a PBE-GGA calculation of a relaxed structure of ReBr5, from the Alexandria database.

Calculated values
Its relative energy among the computed polymorphs is 0 meV/atom. The calculation puts the formation energy without anion corrections at -1.3 kcal/mol of atoms. The value obtained for the total energy is -3.53 eV per atom. Its space group is Cm (8).

Cell: 17.1304 3.7020 6.5481 Å, 90.00 99.92 90.00°
Atoms (fractional coordinates):
1 Re 0.0000 0.0000 0.0000
2 Re 0.5000 0.5000 0.0000
3 Br 0.0625 0.5000 0.8085
4 Br 0.1185 0.0000 0.2672
5 Br 0.2426 0.5000 0.8237
6 Br 0.3873 0.5000 0.7152
7 Br 0.4351 0.0000 0.1858
8 Br 0.5625 0.0000 0.8085
9 Br 0.6185 0.5000 0.2672
10 Br 0.7426 0.0000 0.8237
11 Br 0.8873 0.0000 0.7152
12 Br 0.9351 0.5000 0.1858


The following is a PBE-GGA calculation of a relaxed structure of YGaBIr2, from the Alexandria database.

Calculated values
The value obtained for the total energy is -7.45 eV per atom. The energy of formation comes out at -0.669 eV/atom. Its space group is Cmcm (63).

Cell: 5.9767 5.9767 7.3812 Å, 90.00 90.00 140.88°
Atoms (fractional coordinates):
1 Y 0.0488 0.9512 0.7500
2 Y 0.9512 0.0488 0.2500
3 Ga 0.2330 0.7670 0.2500
4 Ga 0.7670 0.2330 0.7500
5 B 0.5000 0.5000 0.0000
6 B 0.5000 0.5000 0.5000
7 Ir 0.3343 0.6657 0.5601
8 Ir 0.3343 0.6657 0.9399
9 Ir 0.6657 0.3343 0.0601
10 Ir 0.6657 0.3343 0.4399


The following is a PBE-GGA calculation of a relaxed structure of Sm3EuIr, from the Alexandria database.

Calculated values
The value obtained for the total energy is -6.93 eV per atom. The energy of formation comes out at -0.272 eV/atom. Its space group is Pm-3m (221).

Cell: 5.6063 5.6063 5.6063 Å, 90.00 90.00 90.00°
Atoms (fractional coordinates):
1 Sm 0.0000 0.0000 0.5000
2 Sm 0.0000 0.5000 0.0000
3 Sm 0.5000 0.0000 0.0000
4 Eu 0.5000 0.5000 0.5000
5 Ir 0.0000 0.0000 0.0000


The following is a PBE-GGA calculation of a relaxed structure of CsBaO2, from the Alexandria database.

Calculated values
The calculation puts the formation energy without anion corrections at -29.8 kcal/mol of atoms. The value obtained for the total energy is -4.46 eV per atom. Its space group is Fm-3m (225).

Cell: 6.9942 6.9942 6.9942 Å, 90.00 90.00 90.00°
Atoms (fractional coordinates):
1 Cs 0.0000 0.0000 0.0000
2 Cs 0.0000 0.5000 0.5000
3 Cs 0.5000 0.0000 0.5000
4 Cs 0.5000 0.5000 0.0000
5 Ba 0.0000 0.0000 0.5000
6 Ba 0.0000 0.5000 0.0000
7 Ba 0.5000 0.0000 0.0000
8 Ba 0.5000 0.5000 0.5000
9 O 0.2500 0.2500 0.2500
10 O 0.2500 0.2500 0.7500
11 O 0.2500 0.7500 0.2500
12 O 0.2500 0.7500 0.7500
13 O 0.7500 0.2500 0.2500
14 O 0.7500 0.2500 0.7500
15 O 0.7500 0.7500 0.2500
16 O 0.7500 0.7500 0.7500